[1]
Computed, not measured: a geometry-optimized PrHo3Er3 structure at the GGA-PBE level of DFT.

Lattice parameters (Å, degrees): 8.779 8.779 8.779 58.52 58.52 58.52
Fractional coordinates of all 14 atoms:
Pr (0.350, 0.350, 0.350)
Pr (0.650, 0.650, 0.650)
Ho (0.729, 0.571, 0.063)
Ho (0.063, 0.729, 0.571)
Ho (0.571, 0.063, 0.729)
Ho (0.429, 0.937, 0.271)
Ho (0.937, 0.271, 0.429)
Ho (0.271, 0.429, 0.937)
Er (0.715, 0.172, 0.935)
Er (0.172, 0.935, 0.715)
Er (0.935, 0.715, 0.172)
Er (0.065, 0.285, 0.828)
Er (0.828, 0.065, 0.285)
Er (0.285, 0.828, 0.065)

Properties
Energy: -4.38 eV per atom
Energy relative to the elements: 0.219 eV/atom


[2]
Computed, not measured: a geometry-optimized MgZrZnIn structure at the GGA-PBE level of DFT.

Lattice parameters (Å, degrees): 4.196 4.371 4.348 90.00 90.00 90.00
Fractional coordinates of all 4 atoms:
Mg (0.500, 0.000, 0.500)
Zr (0.500, 0.500, 0.000)
Zn (0.000, 0.000, 0.000)
In (0.000, 0.500, 0.500)

Properties
Energy: -3.80 eV per atom
Energy relative to the elements: -0.257 eV/atom


[3]
Computed, not measured: a geometry-optimized CaTaAg structure at the GGA-PBE level of DFT.

Lattice parameters (Å, degrees): 9.650 3.164 4.436 90.00 90.00 99.50
Fractional coordinates of all 6 atoms:
Ca (0.086, 0.629, 0.117)
Ca (0.534, 0.854, 0.617)
Ag (0.404, 0.289, 0.117)
Ag (0.216, 0.194, 0.617)
Ta (0.864, 0.019, 0.617)
Ta (0.755, 0.465, 0.117)

Properties
Energy: -5.35 eV per atom
Energy relative to the elements: 0.220 eV/atom


[4]
Computed, not measured: a geometry-optimized InCoPt2 structure at the GGA-PBE level of DFT.

Lattice parameters (Å, degrees): 4.479 4.479 4.479 60.00 60.00 60.00
Each line ends with the local moment (μB).
Fractional coordinates of all 4 atoms:
Co (0.500, 0.500, 0.500)  1.63
In (0.250, 0.250, 0.250)  -0.04
Pt (0.000, 0.000, 0.000)  0.09
Pt (0.750, 0.750, 0.750)  0.12

Properties
Energy: -5.55 eV per atom
Energy relative to the elements: -0.073 eV/atom